(1)
Density functional theory data (PBE) for an optimized crystal structure of LaZn3Ag.

Computed properties:
M_tot ... 0.000 μB per cell
E_form ... -232 meV per atom
E_tot ... -0.0938 hartree per atom
Calculated density ... 7.075 g/cm3
Relative energy among the computed polymorphs ... 51 meV/atom

a b c (Å): 5.6657 6.5104 6.5102
angles (deg): 120.00 90.00 90.01
Fractional coordinates of all 10 atoms:
Zn (0.7500, 0.1983, 0.3966)
La (0.7500, 0.6667, 0.3334)
Ag (0.0000, 0.0000, 0.0000)
Zn (0.7500, 0.6035, 0.8017)
Zn (0.2500, 0.8017, 0.6035)
Zn (0.2500, 0.8017, 0.1982)
Zn (0.2500, 0.3965, 0.1982)
Ag (0.5000, 0.0000, 0.0000)
La (0.2500, 0.3333, 0.6666)
Zn (0.7500, 0.1983, 0.8018)

=====

(2)
Density functional theory data (PBE) for an optimized crystal structure of LaZnAg.

Computed properties:
M_tot ... 0.000 μB per cell
E_form ... -107 meV per atom
E_tot ... -0.1148 hartree per atom
Calculated density ... 6.535 g/cm3

a b c (Å): 4.8229 4.8229 4.8229
angles (deg): 60.00 60.00 60.00
Fractional coordinates of all 3 atoms:
Zn (0.7500, 0.7500, 0.7500)
La (0.5000, 0.5000, 0.5000)
Ag (0.0000, 0.0000, 0.0000)

=====

(3)
Density functional theory data (PBE) for an optimized crystal structure of La3Zn2Ag9.

Computed properties:
M_tot ... 0.000 μB per cell
E_form ... -218 meV per atom
E_tot ... -0.1209 hartree per atom
Calculated density ... 8.123 g/cm3

a b c (Å): 4.6598 8.6516 8.6516
angles (deg): 70.50 74.38 74.38
Fractional coordinates of all 14 atoms:
Ag (0.8755, 0.4050, 0.8441)
Ag (0.8755, 0.8441, 0.4050)
Zn (0.5000, 0.2987, 0.7013)
Ag (0.1245, 0.5950, 0.1559)
Ag (0.0000, 0.5000, 0.5000)
Ag (0.3342, 0.3046, 0.0270)
Ag (0.6658, 0.9730, 0.6954)
La (0.6953, 0.3047, 0.3047)
Ag (0.3342, 0.0270, 0.3046)
Ag (0.1245, 0.1559, 0.5950)
La (0.3047, 0.6953, 0.6953)
Ag (0.6658, 0.6954, 0.9730)
La (0.0000, 0.0000, 0.0000)
Zn (0.5000, 0.7013, 0.2987)

=====

(4)
Density functional theory data (PBE) for an optimized crystal structure of La3Zn4Ag4.

Computed properties:
M_tot ... 0.000 μB per cell
E_form ... -275 meV per atom
E_tot ... -0.1146 hartree per atom
Calculated density ... 7.408 g/cm3
Relative energy among the computed polymorphs ... 8 meV/atom

a b c (Å): 4.3836 7.6729 8.6152
angles (deg): 116.44 104.74 90.00
Fractional coordinates of all 11 atoms:
Ag (0.6704, 0.4790, 0.3409)
Ag (0.6704, 0.8619, 0.3409)
Zn (0.7805, 0.2805, 0.5610)
La (0.8725, 0.8725, 0.7451)
Zn (0.5000, 0.1790, 0.0000)
Zn (0.5000, 0.8210, 0.0000)
La (0.0000, 0.5000, 0.0000)
Ag (0.3296, 0.1381, 0.6591)
La (0.1275, 0.1275, 0.2549)
Ag (0.3296, 0.5210, 0.6591)
Zn (0.2195, 0.7195, 0.4390)

=====

(5)
Density functional theory data (PBE) for an optimized crystal structure of La2ZnAg2.

Computed properties:
M_tot ... 0.000 μB per cell
E_form ... -32 meV per atom
E_tot ... -0.1249 hartree per atom
Calculated density ... 6.545 g/cm3
Relative energy among the computed polymorphs ... 250 meV/atom

a b c (Å): 5.9713 5.9713 5.8005
angles (deg): 59.02 59.02 90.00
Fractional coordinates of all 5 atoms:
Ag (0.6622, 0.6622, 0.6757)
La (0.7500, 0.2500, 0.5000)
Zn (0.0000, 0.0000, 0.0000)
Ag (0.3378, 0.3378, 0.3243)
La (0.2500, 0.7500, 0.5000)

=====

(6)
Density functional theory data (PBE) for an optimized crystal structure of LaZn6Ag12.

Computed properties:
M_tot ... 0.000 μB per cell
E_form ... 24 meV per atom
E_tot ... -0.0896 hartree per atom
Calculated density ... 8.308 g/cm3

a b c (Å): 7.4361 7.4361 7.4361
angles (deg): 104.27 104.27 104.27
Fractional coordinates of all 19 atoms:
La (0.0000, 0.0000, 0.0000)
Zn (0.2730, 0.2730, 0.7023)
Ag (0.5000, 0.8840, 0.1160)
Ag (0.6060, 0.6060, 0.8600)
Zn (0.7270, 0.2977, 0.7270)
Zn (0.2730, 0.7023, 0.2730)
Ag (0.6060, 0.8600, 0.6060)
Ag (0.3940, 0.1400, 0.3940)
Ag (0.5000, 0.1160, 0.8840)
Ag (0.1160, 0.8840, 0.5000)
Ag (0.8840, 0.1160, 0.5000)
Ag (0.3940, 0.3940, 0.1400)
Zn (0.7270, 0.7270, 0.2977)
Ag (0.1400, 0.3940, 0.3940)
Zn (0.7023, 0.2730, 0.2730)
Ag (0.8600, 0.6060, 0.6060)
Ag (0.1160, 0.5000, 0.8840)
Zn (0.2977, 0.7270, 0.7270)
Ag (0.8840, 0.5000, 0.1160)

=====

(7)
Density functional theory data (PBE) for an optimized crystal structure of La3Zn3Ag.

Computed properties:
M_tot ... 0.000 μB per cell
E_form ... -295 meV per atom
E_tot ... -0.1235 hartree per atom
Calculated density ... 6.677 g/cm3

a b c (Å): 4.6489 3.7406 10.7314
angles (deg): 100.04 102.51 90.00
Fractional coordinates of all 7 atoms:
La (0.3070, 0.8070, 0.6141)
La (0.0022, 0.0022, 0.0044)
Ag (0.4351, 0.4351, 0.8702)
La (0.6913, 0.1913, 0.3826)
Zn (0.8607, 0.3607, 0.7214)
Zn (0.5674, 0.5674, 0.1348)
Zn (0.1362, 0.6362, 0.2724)

=====

(8)
Density functional theory data (PBE) for an optimized crystal structure of La5ZnAg4.

Computed properties:
M_tot ... 0.037 μB per cell
E_form ... -271 meV per atom
E_tot ... -0.1471 hartree per atom
Calculated density ... 7.140 g/cm3

a b c (Å): 3.8000 3.8000 19.1875
angles (deg): 90.00 90.00 90.00
Fractional coordinates of all 10 atoms:
La (0.5000, 0.5000, 0.7021)
Ag (0.0000, 0.0000, 0.8028)
Ag (0.0000, 0.0000, 0.3997)
La (0.5000, 0.5000, 0.9047)
La (0.5000, 0.5000, 0.0953)
Ag (0.0000, 0.0000, 0.6003)
Zn (0.0000, 0.0000, 0.0000)
Ag (0.0000, 0.0000, 0.1972)
La (0.5000, 0.5000, 0.5000)
La (0.5000, 0.5000, 0.2979)